Entry from Alexandria via LeMat-Bulk: a relaxed structure of SrPaSi2Pt2 (PBE).

The space group is P-3m1 (No. 164) and the conventional cell measures 4.2409, 4.2409 and 8.3357 Å, with angles of 90.00, 90.00 and 120.00 degrees. The inequivalent atoms are Sr at (0.0000, 0.0000, 0.0000), Pa at (0.0000, 0.0000, 0.5000), Si at (0.3333, 0.6667, 0.7200) and Pt at (0.3333, 0.6667, 0.2764).

The formation energy without anion corrections comes out at -941 meV/atom. As for the total moment: 0.0 μB/cell. The value obtained for the raw total energy is -6.625 eV per atom.